DFT (PBE-GGA) results for a relaxed AcLaMg crystal.

Cell: 9.303 9.303 5.905 Å, 90.00 90.00 154.98°
Element x y z (fractional)
Ac 0.084 0.916 0.750
Ac 0.916 0.084 0.250
La 0.231 0.769 0.250
La 0.769 0.231 0.750
Mg 0.423 0.577 0.750
Mg 0.577 0.423 0.250

total magnetic moment = 0.00 μB/f.u.
ΔE_f = -0.050 eV/atom
polymorph energy (0 for the lowest one) = 0.0 meV/atom
total energy = -3.593 eV per atom